No. 1
CsCa2InI8 | PBE | relaxed

a = 7.6250 Å, b = 7.3157 Å, c = 9.9325 Å
α = 89.88°, β = 89.89°, γ = 88.25°
Last column: nearest neighbours and their distance in Å.
Atoms (fractional coordinates):
Cs1 0.0000 0.0000 0.5000  6 I 3.63-3.64
Ca1 0.5003 0.4998 0.7562  6 I 3.17-3.30
Ca2 0.4997 0.5002 0.2438  6 I 3.17-3.30
In1 0.0000 0.0000 0.0000  6 I 2.92-3.21
I1 0.1506 0.7519 0.2034  1 In 2.93, 1 Ca 3.22
I2 0.6617 0.7502 0.9997  1 In 3.21, 2 Ca 3.29-3.30
I3 0.8476 0.2465 0.2032  1 In 2.92, 1 Ca 3.22
I4 0.8494 0.2481 0.7966  1 In 2.93, 1 Ca 3.22
I5 0.3383 0.2498 0.0003  1 In 3.21, 2 Ca 3.29-3.30
I6 0.1524 0.7535 0.7968  1 In 2.92, 1 Ca 3.22
I7 0.6062 0.7300 0.4995  2 Ca 3.17
I8 0.3938 0.2700 0.5005  2 Ca 3.17

Results
E ... -0.1024 Ha/atom
Size of the total moment ... 0.0 μB/cell
Calculated volume ... 554 Å³ per cell
E_form (uncorrected) ... -1.12 eV per atom
Crystal system ... triclinic

---

No. 2
LaZnHg2 | PBE | relaxed

a = 4.7026 Å, b = 9.6191 Å, c = 9.1107 Å
α = 90.00°, β = 104.96°, γ = 90.00°
Last column: nearest neighbours and their distance in Å.
Atoms (fractional coordinates):
La1 0.5000 0.5000 0.0000  10 Hg 3.44-3.76, 4 Zn 3.51
La2 0.5000 0.0000 0.0000  10 Hg 3.44-3.76, 4 Zn 3.51
La3 0.2937 0.7500 0.5875  9 Hg 3.32-3.48, 6 Zn 3.37-3.68
La4 0.7063 0.2500 0.4125  9 Hg 3.32-3.48, 6 Zn 3.37-3.68
Zn1 0.1471 0.4771 0.2943  4 Hg 2.63-2.78
Zn2 0.8529 0.9771 0.7057  4 Hg 2.63-2.78
Zn3 0.1471 0.0229 0.2943  4 Hg 2.63-2.78
Zn4 0.8529 0.5229 0.7057  4 Hg 2.63-2.78
Hg1 0.9042 0.2500 0.8084  2 Zn 2.78, 1 Hg 2.81
Hg2 0.9364 0.7500 0.8728  2 Zn 2.63, 1 Hg 2.81
Hg3 0.0958 0.7500 0.1916  2 Zn 2.78, 1 Hg 2.81
Hg4 0.0636 0.2500 0.1272  2 Zn 2.63, 1 Hg 2.81
Hg5 0.6885 0.5936 0.3770  3 Zn 2.70-2.97, 1 Hg 3.01
Hg6 0.3115 0.4064 0.6230  3 Zn 2.70-2.97, 1 Hg 3.01
Hg7 0.3115 0.0936 0.6230  3 Zn 2.70-2.97, 1 Hg 3.01
Hg8 0.6885 0.9064 0.3770  3 Zn 2.70-2.97, 1 Hg 3.01

Results
E ... -0.0760 Ha/atom
Calculated formation energy ... -1.468 eV/f.u.
Size of the total moment ... 0.0 μB/cell
Calculated volume ... 398 Å³ per cell
Crystal system ... orthorhombic

---

No. 3
BeZn2Si | PBE | relaxed

a = 4.7265 Å, b = 4.7265 Å, c = 2.5889 Å
α = 90.00°, β = 90.00°, γ = 109.18°
Last column: nearest neighbours and their distance in Å.
Atoms (fractional coordinates):
Be1 0.5000 0.0000 0.5000  2 Be 2.59, 8 Zn 2.69, 2 Si 2.74
Zn1 0.0000 0.0000 0.0000  4 Zn 2.59-2.74, 4 Si 2.69, 4 Be 2.69
Zn2 0.5000 0.5000 0.0000  4 Zn 2.59-2.74, 4 Be 2.69, 4 Si 2.69
Si1 0.0000 0.5000 0.5000  2 Si 2.59, 8 Zn 2.69, 2 Be 2.74

Results
E ... -0.0960 Ha/atom
Size of the total moment ... 0.0 μB/cell
Calculated volume ... 55 Å³ per cell
E_form (uncorrected) ... 0.31 eV per atom
Crystal system ... orthorhombic

---

No. 4
SrZn7Ag5 | PBE | relaxed

a = 5.3865 Å, b = 7.2129 Å, c = 7.2129 Å
α = 82.91°, β = 68.07°, γ = 68.07°
Last column: nearest neighbours and their distance in Å.
Atoms (fractional coordinates):
Sr1 0.0010 0.9990 0.9990  10 Zn 3.36-3.54, 10 Ag 3.37-3.68
Zn1 0.6395 0.3605 0.3605  5 Zn 2.62-2.91, 4 Ag 2.89
Zn2 0.3596 0.6404 0.6404  3 Zn 2.62-2.90
Zn3 0.9957 0.3629 0.6457  4 Zn 2.70-2.95, 5 Ag 2.85-2.94
Zn4 0.9957 0.6457 0.3629  4 Zn 2.70-2.95, 5 Ag 2.85-2.94
Zn5 0.2560 0.2440 0.2440  4 Ag 2.68, 4 Zn 2.79-2.91
Zn6 0.5061 0.7613 0.2265  5 Ag 2.71-2.98, 4 Zn 2.84-2.95
Zn7 0.5061 0.2265 0.7613  5 Ag 2.71-2.98, 4 Zn 2.84-2.95
Ag1 0.5050 0.0021 0.4867  7 Zn 2.68-2.97, 3 Ag 2.69-2.83
Ag2 0.0062 0.0021 0.4867  7 Zn 2.68-2.97, 3 Ag 2.69-2.83
Ag3 0.5050 0.4867 0.0021  7 Zn 2.68-2.97, 3 Ag 2.69-2.83
Ag4 0.0062 0.4867 0.0021  7 Zn 2.68-2.97, 3 Ag 2.69-2.83
Ag5 0.7180 0.7820 0.7820  4 Ag 2.83, 6 Zn 2.93-3.00

Results
E ... -0.0729 Ha/atom
Calculated formation energy ... -0.939 eV/f.u.
Size of the total moment ... 0.0 μB/cell
Calculated volume ... 241 Å³ per cell
Crystal system ... orthorhombic

---

No. 5
Mg4Tl2Hg | PBE | relaxed

a = 3.3246 Å, b = 7.2371 Å, c = 8.1329 Å
α = 114.92°, β = 101.79°, γ = 90.00°
Last column: nearest neighbours and their distance in Å.
Atoms (fractional coordinates):
Mg1 0.9138 0.2789 0.8275  1 Hg 2.89, 3 Tl 3.17-3.22, 3 Mg 3.20
Mg2 0.0862 0.7211 0.1725  1 Hg 2.89, 3 Tl 3.17-3.22, 3 Mg 3.20
Mg3 0.6066 0.3648 0.2132  2 Hg 2.96, 3 Tl 3.11-3.21, 4 Mg 3.20-3.31
Mg4 0.3934 0.6352 0.7868  2 Hg 2.96, 3 Tl 3.11-3.21, 4 Mg 3.20-3.31
Tl1 0.7683 0.8029 0.5365  6 Mg 3.11-3.22, 2 Tl 3.32, 1 Hg 3.33
Tl2 0.2317 0.1971 0.4635  6 Mg 3.11-3.22, 2 Tl 3.32, 1 Hg 3.33
Hg1 0.0000 0.0000 0.0000  6 Mg 2.89-2.96

Results
E ... -0.0609 Ha/atom
Calculated formation energy ... -0.196 eV/f.u.
Relative energy among the computed polymorphs ... 2.6 kJ/mol of atoms
Size of the total moment ... 0.0 μB/cell
Calculated volume ... 173 Å³ per cell
Crystal system ... monoclinic

---

No. 6
Tc2MoHW | PBE | relaxed

a = 3.9727 Å, b = 3.9727 Å, c = 4.0077 Å
α = 90.00°, β = 90.00°, γ = 90.00°
Last column: nearest neighbours and their distance in Å.
Atoms (fractional coordinates):
H1 0.0000 0.0000 0.0000  4 Tc 1.99, 2 Mo 2.00
Mo1 0.0000 0.0000 0.5000  2 H 2.00
Tc1 0.0000 0.5000 0.0000  2 H 1.99
Tc2 0.5000 0.0000 0.0000  2 H 1.99
W1 0.5000 0.5000 0.5000  4 Mo 2.81, 8 Tc 2.82

Results
E ... -0.3476 Ha/atom
Relative energy among the computed polymorphs ... 0.0 kJ/mol of atoms
Size of the total moment ... 0.0 μB/cell
Calculated volume ... 63 Å³ per cell
Crystal system ... tetragonal

---

No. 7
CaIn2F | PBE | relaxed

a = 5.2252 Å, b = 5.2252 Å, c = 5.2252 Å
α = 60.00°, β = 60.00°, γ = 60.00°
Last column: nearest neighbours and their distance in Å.
Atoms (fractional coordinates):
Ca1 0.5000 0.5000 0.5000  8 In 3.20
F1 0.0000 0.0000 0.0000  8 In 3.20
In1 0.2500 0.2500 0.2500  4 F 3.20, 4 Ca 3.20
In2 0.7500 0.7500 0.7500  4 F 3.20, 4 Ca 3.20

Results
E ... -0.1058 Ha/atom
Relative energy among the computed polymorphs ... 21.1 kJ/mol of atoms
Size of the total moment ... 0.0 μB/cell
Calculated volume ... 101 Å³ per cell
E_form (uncorrected) ... -0.54 eV per atom
Crystal system ... cubic

---

No. 8
Tb4HgPbN | PBE | relaxed

a = 6.7321 Å, b = 6.7298 Å, c = 8.5988 Å
α = 90.00°, β = 113.05°, γ = 90.00°
Last column: nearest neighbours and their distance in Å.
Atoms (fractional coordinates):
Tb1 0.9198 0.2500 0.8396  1 N 2.73
Tb2 0.4099 0.7500 0.8197  1 N 2.48
Tb3 0.0802 0.7500 0.1604  1 N 2.73
Tb4 0.5901 0.2500 0.1803  1 N 2.48
Tb5 0.5000 0.5000 0.5000  2 N 2.38
Tb6 0.0000 0.0000 0.5000  2 N 2.38
Tb7 0.5000 0.0000 0.5000  2 N 2.38
Tb8 0.0000 0.5000 0.5000  2 N 2.38
Hg1 0.1149 0.2500 0.2299  9 Tb 3.09-3.41
Hg2 0.8851 0.7500 0.7701  9 Tb 3.09-3.41
Pb1 0.6081 0.7500 0.2163  9 Tb 3.14-3.39
Pb2 0.3919 0.2500 0.7837  9 Tb 3.14-3.39
N1 0.2529 0.7500 0.5057  5 Tb 2.38-2.48
N2 0.7471 0.2500 0.4943  5 Tb 2.38-2.48

Results
E ... -0.1906 Ha/atom
Size of the total moment ... 0.0 μB/cell
Calculated volume ... 358 Å³ per cell
E_form (uncorrected) ... -0.78 eV per atom
Crystal system ... orthorhombic

---

No. 9
BaNi2Ru | PBE | relaxed

a = 4.1483 Å, b = 4.2320 Å, c = 5.2730 Å
α = 78.30°, β = 90.00°, γ = 90.00°
Last column: nearest neighbours and their distance in Å.
Atoms (fractional coordinates):
Ba1 0.5000 0.7300 0.7640  4 Ni 3.01-3.30
Ni1 0.0000 0.0298 0.1414  2 Ru 2.27-2.34, 2 Ni 2.43
Ni2 0.5000 0.2459 0.2770  2 Ru 2.35, 2 Ni 2.43
Ru1 0.0000 0.4942 0.3176  4 Ni 2.27-2.35

Results
E ... -0.1934 Ha/atom
Calculated formation energy ... 1.708 eV/f.u.
Relative energy among the computed polymorphs ... 30.6 kJ/mol of atoms
Size of the total moment ... 0.0 μB/cell
Calculated volume ... 91 Å³ per cell
Crystal system ... monoclinic

---

No. 10
Pt3NCl | PBE | relaxed

a = 4.2583 Å, b = 4.2583 Å, c = 4.2583 Å
α = 90.00°, β = 90.00°, γ = 90.00°
Last column: nearest neighbours and their distance in Å.
Atoms (fractional coordinates):
N1 0.0000 0.0000 0.0000  6 Pt 2.13
Pt1 0.0000 0.5000 0.0000  2 N 2.13
Pt2 0.0000 0.0000 0.5000  2 N 2.13
Pt3 0.5000 0.0000 0.0000  2 N 2.13
Cl1 0.5000 0.5000 0.5000  12 Pt 3.01

Results
E ... -0.1749 Ha/atom
Relative energy among the computed polymorphs ... 0.0 kJ/mol of atoms
Size of the total moment ... 0.0 μB/cell
Calculated volume ... 77 Å³ per cell
E_form (uncorrected) ... 0.90 eV per atom
Crystal system ... cubic

---

No. 11
Y2ZnGa5 | PBE | relaxed

a = 6.0258 Å, b = 6.0258 Å, c = 6.0258 Å
α = 89.98°, β = 120.01°, γ = 120.01°
Last column: nearest neighbours and their distance in Å.
Atoms (fractional coordinates):
Y1 0.5000 0.2768 0.7768  10 Ga 3.01, 2 Zn 3.02
Y2 0.5000 0.7768 0.2768  10 Ga 3.01, 2 Zn 3.02
Zn1 0.0000 0.7963 0.7963  8 Ga 2.94-3.09, 4 Y 3.02
Ga1 0.4865 0.7700 0.7700  6 Ga 2.93-3.09, 2 Zn 2.94-3.09, 4 Y 3.01
Ga2 0.0000 0.7700 0.2835  6 Ga 2.93-3.09, 2 Zn 2.94-3.09, 4 Y 3.01
Ga3 0.0000 0.2835 0.7700  6 Ga 2.93-3.09, 2 Zn 2.94-3.09, 4 Y 3.01
Ga4 0.5135 0.2835 0.2835  6 Ga 2.93-3.09, 2 Zn 2.94-3.09, 4 Y 3.01
Ga5 0.0000 0.2650 0.2650  8 Ga 2.98-3.05, 4 Y 3.01

Results
E ... -0.1532 Ha/atom
Calculated formation energy ... -4.018 eV/f.u.
Size of the total moment ... 0.0 μB/cell
Calculated volume ... 155 Å³ per cell
Crystal system ... tetragonal

---

No. 12
SrLiAcBi | PBE | relaxed

a = 5.8150 Å, b = 5.8150 Å, c = 5.8150 Å
α = 60.00°, β = 60.00°, γ = 60.00°
Last column: nearest neighbours and their distance in Å.
Atoms (fractional coordinates):
Sr1 0.0000 0.0000 0.0000  4 Li 3.56, 4 Bi 3.56
Ac1 0.5000 0.5000 0.5000  4 Bi 3.56, 4 Li 3.56
Bi1 0.2500 0.2500 0.2500  4 Ac 3.56, 4 Sr 3.56
Li1 0.7500 0.7500 0.7500  4 Ac 3.56, 4 Sr 3.56

Results
E ... -0.1198 Ha/atom
Calculated formation energy ... -1.453 eV/f.u.
Size of the total moment ... 0.0 μB/cell
Calculated volume ... 139 Å³ per cell
Crystal system ... cubic